SiAs2Ru, relaxed, DFT PBE; DOS at the Fermi energy = 0.761 states/eV per atom; energy relative to the elements, uncorrected = 0.256 eV per atom; spin magnetization = 0.00 μB per formula unit
1.0
1.484 -2.485 0.000
1.484 2.485 0.000
0.000 0.000 9.251
Si As Ru
1 2 1
direct
0.000 0.000 0.000
0.000 0.000 0.574
0.500 0.500 0.243
0.500 0.500 0.798

Dy6SbRu2, relaxed, DFT PBE; DOS at the Fermi energy = 0.753 states/eV per atom; energy relative to the elements, uncorrected = -0.487 eV per atom; spin magnetization = 0.00 μB per formula unit
1.0
-4.705 4.789 5.197
4.705 -4.789 5.197
4.705 4.789 -5.197
Dy Sb Ru
12 2 4
direct
0.032 0.239 0.793
0.181 0.285 0.466
0.181 0.715 0.895
0.331 0.017 0.686
0.331 0.645 0.314
0.446 0.239 0.207
0.554 0.761 0.793
0.669 0.355 0.686
0.669 0.983 0.314
0.819 0.285 0.105
0.819 0.715 0.534
0.968 0.761 0.207
0.000 0.000 0.000
0.500 0.500 0.000
0.128 0.628 0.500
0.327 0.000 0.327
0.673 0.000 0.673
0.872 0.372 0.500